# 1
BaCa2AgIr PBE optimized geometry; symmetry = P4/mmm; DFT formation energy = -0.091 eV per atom; calculated total energy = -18.09 eV for the cell shown; volume = 181.4 Å³ per cell; density = 4.7 g cm⁻³; density of states at the Fermi level = 4.843 states/eV/cell
1.0
5.487 0.000 0.000
0.000 5.487 0.000
0.000 0.000 6.024
Ba Ca Ag Ir
1 2 1 1
Cartesian
0.000 0.000 0.000
0.000 2.744 3.012
2.744 0.000 3.012
2.744 2.744 0.000
0.000 0.000 3.012

---

# 2
Sm2CuSi4Au3 PBE optimized geometry; symmetry = P-4m2; formation energy from raw total energies = -0.55 eV per atom; calculated total energy = -50.52 eV for the cell shown; volume = 186.9 Å³ per cell; density = 9.5 g cm⁻³; density of states at the Fermi level = 1.783 states/eV/cell
1.0
4.239 0.000 0.000
0.000 4.239 0.000
0.000 0.000 10.403
Sm Cu Si Au
2 1 4 3
Cartesian
0.000 2.120 2.502
2.120 0.000 7.901
2.120 2.120 0.000
0.000 0.000 5.201
0.000 2.120 9.065
2.120 0.000 1.337
2.120 2.120 5.201
0.000 0.000 0.000
0.000 2.120 6.604
2.120 0.000 3.799

---

# 3
Tb2Er3Os2 PBE optimized geometry; symmetry = C2/m; DFT formation energy = -0.262 eV per atom; calculated total energy = -47.24 eV for the cell shown; volume = 178.5 Å³ per cell; density = 11.2 g cm⁻³; density of states at the Fermi level = 4.917 states/eV/cell
1.0
5.917 -1.978 0.000
5.917 1.978 0.000
-3.232 0.000 7.626
Tb Er Os
2 3 2
Cartesian
0.931 0.000 2.380
7.672 0.000 5.247
4.204 0.000 0.534
4.301 0.000 3.813
4.398 0.000 7.092
-0.232 0.000 5.462
8.834 0.000 2.165

---

# 4
Pm2Si3SbPt4 PBE optimized geometry; symmetry = P-4m2; formation energy from raw total energies = -0.98 eV per atom; calculated total energy = -63.82 eV for the cell shown; volume = 191.4 Å³ per cell; density = 11.1 g cm⁻³; density of states at the Fermi level = 5.651 states/eV/cell
1.0
4.333 0.000 0.000
0.000 4.333 0.000
0.000 0.000 10.193
Pm Si Sb Pt
2 3 1 4
Cartesian
0.000 2.167 2.421
2.167 0.000 7.771
0.000 2.167 8.938
2.167 0.000 1.255
2.167 2.167 5.096
0.000 0.000 5.096
0.000 0.000 0.000
0.000 2.167 6.550
2.167 0.000 3.643
2.167 2.167 0.000